Material: LiGdTmHg
Method: DFT, PBE
State: optimized geometry

The space group is No. 216. For the energy relative to the elements, the calculation gives -0.2145 eV per atom. The density of states at the Fermi level comes out at 1.156 states/eV per atom.

Cell: 5.2174 5.2174 5.2174 Å, 60.00 60.00 60.00°
With the nearest neighbours (Å) after each atom.
Atoms (fractional coordinates):
Li  0.0000  0.0000  0.0000  4 Gd 3.20, 4 Tm 3.20
Gd  0.7500  0.7500  0.7500  4 Li 3.20, 4 Hg 3.20
Tm  0.2500  0.2500  0.2500  4 Hg 3.20, 4 Li 3.20
Hg  0.5000  0.5000  0.5000  4 Gd 3.20, 4 Tm 3.20

=====

Material: LiGdYHg
Method: DFT, PBE
State: optimized geometry

The space group is No. 216. For the energy relative to the elements, the calculation gives -0.2362 eV per atom. The density of states at the Fermi level comes out at 1.219 states/eV per atom.

Cell: 5.2518 5.2518 5.2518 Å, 60.00 60.00 60.00°
With the nearest neighbours (Å) after each atom.
Atoms (fractional coordinates):
Li  0.0000  0.0000  0.0000  4 Gd 3.22, 4 Y 3.22
Gd  0.2500  0.2500  0.2500  4 Hg 3.22, 4 Li 3.22
Y  0.7500  0.7500  0.7500  4 Hg 3.22, 4 Li 3.22
Hg  0.5000  0.5000  0.5000  4 Gd 3.22, 4 Y 3.22

=====

Material: LiGdZnHg
Method: DFT, PBE
State: optimized geometry

The space group is No. 216. For the energy relative to the elements, the calculation gives -0.3287 eV per atom. The density of states at the Fermi level comes out at 0.756 states/eV per atom.

Cell: 4.9582 4.9582 4.9582 Å, 60.00 60.00 60.00°
With the nearest neighbours (Å) after each atom.
Atoms (fractional coordinates):
Li  0.0000  0.0000  0.0000  4 Hg 3.04, 4 Zn 3.04
Gd  0.5000  0.5000  0.5000  4 Hg 3.04, 4 Zn 3.04
Zn  0.2500  0.2500  0.2500  4 Gd 3.04, 4 Li 3.04
Hg  0.7500  0.7500  0.7500  4 Gd 3.04, 4 Li 3.04

=====

Material: GdLuHg2
Method: DFT, PBE
State: optimized geometry

The space group is No. 123. For the excess energy over the best structure of this formula in the dataset, the calculation gives 0.0000 eV/atom. For the energy relative to the elements, the calculation gives -0.4899 eV per atom. The density of states at the Fermi level comes out at 1.068 states/eV per atom.

Cell: 3.6589 3.6589 7.5596 Å, 90.00 90.00 90.00°
With the nearest neighbours (Å) after each atom.
Atoms (fractional coordinates):
Gd  0.0000  0.0000  0.0000  8 Hg 3.28, 4 Gd 3.66
Lu  0.0000  0.0000  0.5000  8 Hg 3.14
Hg  0.5000  0.5000  0.2658  4 Lu 3.14, 4 Gd 3.28
Hg  0.5000  0.5000  0.7342  4 Lu 3.14, 4 Gd 3.28

=====

Material: Gd2LuHg
Method: DFT, PBE
State: optimized geometry

The space group is No. 123. For the excess energy over the best structure of this formula in the dataset, the calculation gives 0.0395 eV/atom. For the energy relative to the elements, the calculation gives -0.1763 eV per atom. The density of states at the Fermi level comes out at 1.258 states/eV per atom.

Cell: 4.7766 4.7766 4.8527 Å, 90.00 90.00 90.00°
With the nearest neighbours (Å) after each atom.
Atoms (fractional coordinates):
Gd  0.0000  0.5000  0.0000  4 Gd 3.38, 4 Hg 3.40, 4 Lu 3.40
Gd  0.5000  0.0000  0.0000  4 Gd 3.38, 4 Hg 3.40, 4 Lu 3.40
Lu  0.0000  0.0000  0.5000  4 Hg 3.38, 8 Gd 3.40
Hg  0.5000  0.5000  0.5000  4 Lu 3.38, 8 Gd 3.40

=====

Material: Gd2LuHg
Method: DFT, PBE
State: optimized geometry

The space group is No. 225. For the excess energy over the best structure of this formula in the dataset, the calculation gives 0.1214 eV/atom. For the energy relative to the elements, the calculation gives -0.0944 eV per atom. The density of states at the Fermi level comes out at 1.229 states/eV per atom.

Cell: 5.4053 5.4053 5.4053 Å, 60.00 60.00 60.00°
With the nearest neighbours (Å) after each atom.
Atoms (fractional coordinates):
Gd  0.2500  0.2500  0.2500  4 Hg 3.31, 4 Lu 3.31
Gd  0.7500  0.7500  0.7500  4 Hg 3.31, 4 Lu 3.31
Lu  0.0000  0.0000  0.0000  8 Gd 3.31
Hg  0.5000  0.5000  0.5000  8 Gd 3.31

=====

Material: GdLuHg
Method: DFT, PBE
State: optimized geometry

The space group is No. 156. For the excess energy over the best structure of this formula in the dataset, the calculation gives 0.1248 eV/atom. For the energy relative to the elements, the calculation gives -0.1960 eV per atom. The density of states at the Fermi level comes out at 1.170 states/eV per atom.

Cell: 5.0998 5.0998 3.7129 Å, 90.00 90.00 120.00°
With the nearest neighbours (Å) after each atom.
Atoms (fractional coordinates):
Gd  0.0000  0.0000  0.0000  6 Hg 3.30-3.69, 6 Lu 3.43-3.53
Lu  0.3333  0.6667  0.5236  3 Hg 2.98
Hg  0.6667  0.3333  0.4003  3 Lu 2.98, 3 Gd 3.30

=====

Material: GdLuHg
Method: DFT, PBE
State: optimized geometry

The space group is No. 107. For the excess energy over the best structure of this formula in the dataset, the calculation gives 0.0000 eV/atom. For the energy relative to the elements, the calculation gives -0.3207 eV per atom. The density of states at the Fermi level comes out at 0.956 states/eV per atom.

Cell: 6.8662 6.8662 6.8662 Å, 149.65 149.65 43.46°
With the nearest neighbours (Å) after each atom.
Atoms (fractional coordinates):
Gd  0.0000  0.0000  0.0000  4 Hg 3.30, 4 Lu 3.53, 4 Gd 3.59
Lu  0.6924  0.6924  0.0000  4 Hg 3.13
Hg  0.3355  0.3355  0.0000  4 Lu 3.13, 4 Gd 3.30